1.
# MnHg2Pt | Alexandria | PBE | optimized geometry
data_MnHg2Pt
_cell_length_a 3.0395
_cell_length_b 4.8654
_cell_length_c 5.0872
_cell_angle_alpha 90.00
_cell_angle_beta 91.40
_cell_angle_gamma 90.00
_space_group_name_H-M_alt 'P 1'
_space_group_IT_number 1
loop_
_space_group_symop_operation_xyz
'x,y,z'
loop_
_atom_site_label
_atom_site_type_symbol
_atom_site_fract_x
_atom_site_fract_y
_atom_site_fract_z
Mn1 Mn 0.0000 0.0000 0.0000
Hg1 Hg 0.2611 0.5000 0.7505
Hg2 Hg 0.7389 0.5000 0.2495
Pt1 Pt 0.5000 0.0000 0.5000
# - DOS at the Fermi energy: 2.2 states/eV/cell
# - Volume: 75.2 Å³ per cell


2.
# MnHg2Pt | Alexandria | PBE | optimized geometry
data_MnHg2Pt
_cell_length_a 9.2649
_cell_length_b 9.2649
_cell_length_c 9.2649
_cell_angle_alpha 19.07
_cell_angle_beta 19.07
_cell_angle_gamma 19.07
_space_group_name_H-M_alt 'P 1'
_space_group_IT_number 1
loop_
_space_group_symop_operation_xyz
'x,y,z'
loop_
_atom_site_label
_atom_site_type_symbol
_atom_site_fract_x
_atom_site_fract_y
_atom_site_fract_z
Mn1 Mn 0.0000 0.0000 0.0000
Hg1 Hg 0.2508 0.2508 0.2508
Hg2 Hg 0.7492 0.7492 0.7492
Pt1 Pt 0.5000 0.5000 0.5000
# - DOS at the Fermi energy: 1.9 states/eV/cell
# - Volume: 74.2 Å³ per cell


3.
# MnHg2Pt | Alexandria | PBE | optimized geometry
data_MnHg2Pt
_cell_length_a 5.0730
_cell_length_b 5.0730
_cell_length_c 3.0162
_cell_angle_alpha 90.00
_cell_angle_beta 90.00
_cell_angle_gamma 109.38
_space_group_name_H-M_alt 'P 1'
_space_group_IT_number 1
loop_
_space_group_symop_operation_xyz
'x,y,z'
loop_
_atom_site_label
_atom_site_type_symbol
_atom_site_fract_x
_atom_site_fract_y
_atom_site_fract_z
Mn1 Mn 0.0000 0.0000 0.0000
Hg1 Hg 0.0000 0.5000 0.5000
Hg2 Hg 0.5000 0.0000 0.5000
Pt1 Pt 0.5000 0.5000 0.0000
# - DOS at the Fermi energy: 2.2 states/eV/cell
# - Volume: 73.2 Å³ per cell


4.
# MnHg2Pt | Alexandria | PBE | optimized geometry
data_MnHg2Pt
_cell_length_a 5.3914
_cell_length_b 5.3914
_cell_length_c 4.7699
_cell_angle_alpha 107.09
_cell_angle_beta 107.09
_cell_angle_gamma 34.78
_space_group_name_H-M_alt 'P 1'
_space_group_IT_number 1
loop_
_space_group_symop_operation_xyz
'x,y,z'
loop_
_atom_site_label
_atom_site_type_symbol
_atom_site_fract_x
_atom_site_fract_y
_atom_site_fract_z
Mn1 Mn 0.0000 0.0000 0.0000
Hg1 Hg 0.5392 0.5392 0.5268
Hg2 Hg 0.7516 0.7516 0.2008
Pt1 Pt 0.3007 0.3007 0.7391
# - DOS at the Fermi energy: 2.2 states/eV/cell
# - Volume: 75.2 Å³ per cell


Which structure is most stable, and how do the rest compare? From most to least stable: 4, 1, 3, 2.


1.
# MnHg2Pt | Alexandria | PBE | optimized geometry
data_MnHg2Pt
_cell_length_a 3.0337
_cell_length_b 4.0086
_cell_length_c 5.9707
_cell_angle_alpha 90.00
_cell_angle_beta 90.00
_cell_angle_gamma 90.00
_space_group_name_H-M_alt 'P 1'
_space_group_IT_number 1
loop_
_space_group_symop_operation_xyz
'x,y,z'
loop_
_atom_site_label
_atom_site_type_symbol
_atom_site_fract_x
_atom_site_fract_y
_atom_site_fract_z
Mn1 Mn 0.0000 0.0000 0.0000
Hg1 Hg 0.5000 0.5000 0.2482
Hg2 Hg 0.5000 0.5000 0.7518
Pt1 Pt 0.0000 0.0000 0.5000
# - DOS at the Fermi energy: 2.5 states/eV/cell
# - Volume: 72.6 Å³ per cell


2.
# MnHg2Pt | Alexandria | PBE | optimized geometry
data_MnHg2Pt
_cell_length_a 5.2306
_cell_length_b 5.2306
_cell_length_c 5.2306
_cell_angle_alpha 136.55
_cell_angle_beta 130.07
_cell_angle_gamma 68.30
_space_group_name_H-M_alt 'P 1'
_space_group_IT_number 1
loop_
_space_group_symop_operation_xyz
'x,y,z'
loop_
_atom_site_label
_atom_site_type_symbol
_atom_site_fract_x
_atom_site_fract_y
_atom_site_fract_z
Mn1 Mn 0.0000 0.0000 0.0000
Hg1 Hg 0.4789 0.4789 0.0000
Hg2 Hg 0.7444 0.2444 0.5000
Pt1 Pt 0.2167 0.7167 0.5000
# - DOS at the Fermi energy: 2.1 states/eV/cell
# - Volume: 74.0 Å³ per cell


3.
# MnHg2Pt | Alexandria | PBE | optimized geometry
data_MnHg2Pt
_cell_length_a 4.9887
_cell_length_b 4.9887
_cell_length_c 4.9779
_cell_angle_alpha 101.89
_cell_angle_beta 101.89
_cell_angle_gamma 37.83
_space_group_name_H-M_alt 'P 1'
_space_group_IT_number 1
loop_
_space_group_symop_operation_xyz
'x,y,z'
loop_
_atom_site_label
_atom_site_type_symbol
_atom_site_fract_x
_atom_site_fract_y
_atom_site_fract_z
Mn1 Mn 0.0000 0.0000 0.0000
Hg1 Hg 0.2513 0.2513 0.7516
Hg2 Hg 0.7487 0.7487 0.2484
Pt1 Pt 0.5000 0.5000 0.5000
# - DOS at the Fermi energy: 1.9 states/eV/cell
# - Volume: 74.1 Å³ per cell


Which structure is most stable, and how do the rest compare? From most to least stable: 2, 3, 1.